(1)
## RbTl2TeS (PBE)

Data for a geometry-optimized RbTl2TeS structure.

The structure in POSCAR format:
```
RbTl2TeS
1.0
-3.1579 4.5185 -0.1126
-4.2736 -3.0294 -1.7130
-1.8660 -1.1379 6.6677
Rb Tl Te S
1 2 1 1
Direct
0.0000 0.0000 0.4930
0.0000 0.5000 0.9132
0.5000 0.0000 0.9135
0.5000 0.5000 0.6549
0.0000 0.0000 0.0253
```

Its space group is P4mm, No. 99. Its calculated total energy is -15.3 eV/cell.

=====

(2)
## Pm6HgSb2Te3 (PBE)

Data for a geometry-optimized Pm6HgSb2Te3 structure.

The structure in POSCAR format:
```
Pm6HgSb2Te3
1.0
4.4379 0.0000 0.0000
0.0000 9.0146 0.3017
-2.2190 -2.6173 9.4040
Pm Hg Sb Te
6 1 2 3
Direct
0.3363 0.9136 0.6725
0.6693 0.5778 0.3386
0.6637 0.0864 0.3275
0.0004 0.2464 0.0007
0.9996 0.7536 0.9993
0.3307 0.4222 0.6614
0.5000 0.0000 0.0000
0.8342 0.6672 0.6683
0.1658 0.3328 0.3317
0.5000 0.5000 0.0000
0.8310 0.1667 0.6620
0.1690 0.8333 0.3380
```

Its space group is C2/m, No. 12. Its calculated total energy is -60.9 eV/cell.

=====

The highest calculated total energy belongs to which entry? RbTl2TeS